No. 1
Below is crystalline Mg2VReSe at its relaxed geometry, with properties calculated at the PBE-GGA level.

```
data_Mg2VReSe
_cell_length_a 5.150
_cell_length_b 5.150
_cell_length_c 4.613
_cell_angle_alpha 90.00
_cell_angle_beta 90.00
_cell_angle_gamma 90.00
_symmetry_space_group_name_H-M 'P 4/m m m'
_symmetry_Int_Tables_number 123
_symmetry_space_group_name_Hall '-P 4 2'
loop_
_atom_site_label
_atom_site_type_symbol
_atom_site_fract_x
_atom_site_fract_y
_atom_site_fract_z
Mg1 Mg 0.000 0.500 0.000
V1 V 0.000 0.000 0.500
Re1 Re 0.500 0.500 0.000
Se1 Se 0.500 0.500 0.500
```

Output
Formation energy (no corrections) = 4.61 eV/f.u.


No. 2
Below is crystalline MgRe2Si2 at its relaxed geometry, with properties calculated at the PBE-GGA level.

```
data_MgRe2Si2
_cell_length_a 7.121
_cell_length_b 7.121
_cell_length_c 2.895
_cell_angle_alpha 90.00
_cell_angle_beta 90.00
_cell_angle_gamma 90.00
_symmetry_space_group_name_H-M 'P 4/m b m'
_symmetry_Int_Tables_number 127
_symmetry_space_group_name_Hall '-P 4 2ab'
loop_
_atom_site_label
_atom_site_type_symbol
_atom_site_fract_x
_atom_site_fract_y
_atom_site_fract_z
Mg1 Mg 0.000 0.000 0.000
Re1 Re 0.151 0.349 0.500
Si1 Si 0.142 0.642 0.000
```

Output
Formation energy (no corrections) = -0.60 eV/f.u.


No. 3
Below is crystalline MgRe2Si at its relaxed geometry, with properties calculated at the PBE-GGA level.

```
data_MgRe2Si
_cell_length_a 3.836
_cell_length_b 3.836
_cell_length_c 8.021
_cell_angle_alpha 90.00
_cell_angle_beta 90.00
_cell_angle_gamma 90.00
_symmetry_space_group_name_H-M 'I 4/m m m'
_symmetry_Int_Tables_number 139
_symmetry_space_group_name_Hall '-I 4 2'
loop_
_atom_site_label
_atom_site_type_symbol
_atom_site_fract_x
_atom_site_fract_y
_atom_site_fract_z
Mg1 Mg 0.000 0.000 0.000
Re1 Re 0.000 0.500 0.250
Si1 Si 0.000 0.000 0.500
```

Output
Formation energy (no corrections) = 1.42 eV/f.u.


No. 4
Below is crystalline MgRe2Si at its relaxed geometry, with properties calculated at the PBE-GGA level.

```
data_MgRe2Si
_cell_length_a 4.043
_cell_length_b 4.043
_cell_length_c 7.158
_cell_angle_alpha 90.00
_cell_angle_beta 90.00
_cell_angle_gamma 90.00
_symmetry_space_group_name_H-M 'I -4 m 2'
_symmetry_Int_Tables_number 119
_symmetry_space_group_name_Hall 'I -4 -2'
loop_
_atom_site_label
_atom_site_type_symbol
_atom_site_fract_x
_atom_site_fract_y
_atom_site_fract_z
Mg1 Mg 0.000 0.000 0.000
Re1 Re 0.000 0.000 0.500
Re2 Re 0.000 0.500 0.750
Si1 Si 0.000 0.500 0.250
```

Output
Formation energy (no corrections) = 0.71 eV/f.u.


No. 5
Below is crystalline MgRe2Si at its relaxed geometry, with properties calculated at the PBE-GGA level.

```
data_MgRe2Si
_cell_length_a 3.825
_cell_length_b 3.825
_cell_length_c 4.041
_cell_angle_alpha 90.00
_cell_angle_beta 90.00
_cell_angle_gamma 90.00
_symmetry_space_group_name_H-M 'P 4/m m m'
_symmetry_Int_Tables_number 123
_symmetry_space_group_name_Hall '-P 4 2'
loop_
_atom_site_label
_atom_site_type_symbol
_atom_site_fract_x
_atom_site_fract_y
_atom_site_fract_z
Mg1 Mg 0.000 0.000 0.000
Re1 Re 0.000 0.500 0.500
Si1 Si 0.500 0.500 0.000
```

Output
Formation energy (no corrections) = 1.35 eV/f.u.


No. 6
Below is crystalline MgReSi3 at its relaxed geometry, with properties calculated at the PBE-GGA level.

```
data_MgReSi3
_cell_length_a 4.733
_cell_length_b 4.733
_cell_length_c 4.733
_cell_angle_alpha 90.00
_cell_angle_beta 90.00
_cell_angle_gamma 90.00
_symmetry_space_group_name_H-M 'P m -3 m'
_symmetry_Int_Tables_number 221
_symmetry_space_group_name_Hall '-P 4 2 3'
loop_
_atom_site_label
_atom_site_type_symbol
_atom_site_fract_x
_atom_site_fract_y
_atom_site_fract_z
Mg1 Mg 0.000 0.000 0.000
Re1 Re 0.500 0.500 0.500
Si1 Si 0.000 0.500 0.500
```

Output
Formation energy (no corrections) = 2.30 eV/f.u.


No. 7
Below is crystalline MgRe2Si at its relaxed geometry, with properties calculated at the PBE-GGA level.

```
data_MgRe2Si
_cell_length_a 2.767
_cell_length_b 4.283
_cell_length_c 5.069
_cell_angle_alpha 90.00
_cell_angle_beta 95.54
_cell_angle_gamma 90.00
_symmetry_space_group_name_H-M 'P 1 2/m 1'
_symmetry_Int_Tables_number 10
loop_
_symmetry_equiv_pos_as_xyz
'x,y,z'
'-x,-y,-z'
'-x,y,-z'
'x,-y,z'
loop_
_atom_site_label
_atom_site_type_symbol
_atom_site_fract_x
_atom_site_fract_y
_atom_site_fract_z
Mg1 Mg 0.000 0.000 0.000
Re1 Re 0.316 0.500 0.749
Si1 Si 0.500 0.000 0.500
```

Output
Formation energy (no corrections) = 0.84 eV/f.u.


No. 8
Below is crystalline MgRe2Si at its relaxed geometry, with properties calculated at the PBE-GGA level.

```
data_MgRe2Si
_cell_length_a 5.460
_cell_length_b 7.931
_cell_length_c 2.728
_cell_angle_alpha 90.00
_cell_angle_beta 90.00
_cell_angle_gamma 90.00
_symmetry_space_group_name_H-M 'C m m m'
_symmetry_Int_Tables_number 65
_symmetry_space_group_name_Hall '-C 2 2'
loop_
_atom_site_label
_atom_site_type_symbol
_atom_site_fract_x
_atom_site_fract_y
_atom_site_fract_z
Mg1 Mg 0.000 0.000 0.000
Re1 Re 0.250 0.250 0.500
Si1 Si 0.000 0.500 0.000
```

Output
Formation energy (no corrections) = 1.67 eV/f.u.


No. 9
Below is crystalline MgRe2Si at its relaxed geometry, with properties calculated at the PBE-GGA level.

```
data_MgRe2Si
_cell_length_a 3.072
_cell_length_b 3.072
_cell_length_c 6.296
_cell_angle_alpha 90.00
_cell_angle_beta 90.00
_cell_angle_gamma 90.00
_symmetry_space_group_name_H-M 'P 4 m m'
_symmetry_Int_Tables_number 99
loop_
_symmetry_equiv_pos_as_xyz
'x,y,z'
'-y,x,z'
'-x,-y,z'
'y,-x,z'
'-x,y,z'
'y,x,z'
'x,-y,z'
'-y,-x,z'
loop_
_atom_site_label
_atom_site_type_symbol
_atom_site_fract_x
_atom_site_fract_y
_atom_site_fract_z
Mg1 Mg 0.000 0.000 0.000
Re1 Re 0.000 0.000 0.524
Re2 Re 0.500 0.500 0.267
Si1 Si 0.500 0.500 0.733
```

Output
Formation energy (no corrections) = -0.01 eV/f.u.


No. 10
Below is crystalline MgRe2Si at its relaxed geometry, with properties calculated at the PBE-GGA level.

```
data_MgRe2Si
_cell_length_a 6.104
_cell_length_b 6.104
_cell_length_c 6.104
_cell_angle_alpha 90.00
_cell_angle_beta 90.00
_cell_angle_gamma 90.00
_symmetry_space_group_name_H-M 'F m -3 m'
_symmetry_Int_Tables_number 225
_symmetry_space_group_name_Hall '-F 4 2 3'
loop_
_atom_site_label
_atom_site_type_symbol
_atom_site_fract_x
_atom_site_fract_y
_atom_site_fract_z
Mg1 Mg 0.000 0.000 0.000
Re1 Re 0.250 0.250 0.250
Si1 Si 0.000 0.000 0.500
```

Output
Formation energy (no corrections) = 1.34 eV/f.u.


No. 11
Below is crystalline MgRe2Si2 at its relaxed geometry, with properties calculated at the PBE-GGA level.

```
data_MgRe2Si2
_cell_length_a 3.471
_cell_length_b 3.471
_cell_length_c 12.776
_cell_angle_alpha 90.00
_cell_angle_beta 90.00
_cell_angle_gamma 90.00
_symmetry_space_group_name_H-M 'I 4/m m m'
_symmetry_Int_Tables_number 139
_symmetry_space_group_name_Hall '-I 4 2'
loop_
_atom_site_label
_atom_site_type_symbol
_atom_site_fract_x
_atom_site_fract_y
_atom_site_fract_z
Mg1 Mg 0.000 0.000 0.000
Re1 Re 0.000 0.000 0.390
Si1 Si 0.000 0.500 0.250
```

Output
Formation energy (no corrections) = 0.30 eV/f.u.


No. 12
Below is crystalline MgRe2Si at its relaxed geometry, with properties calculated at the PBE-GGA level.

```
data_MgRe2Si
_cell_length_a 7.428
_cell_length_b 7.428
_cell_length_c 4.921
_cell_angle_alpha 90.00
_cell_angle_beta 90.00
_cell_angle_gamma 90.00
_symmetry_space_group_name_H-M 'I -4 2 d'
_symmetry_Int_Tables_number 122
_symmetry_space_group_name_Hall 'I -4 2bw'
loop_
_atom_site_label
_atom_site_type_symbol
_atom_site_fract_x
_atom_site_fract_y
_atom_site_fract_z
Mg1 Mg 0.000 0.000 0.000
Re1 Re 0.181 0.250 0.625
Si1 Si 0.000 0.000 0.500
```

Output
Formation energy (no corrections) = 2.30 eV/f.u.


No. 13
Below is crystalline MgRe2Si at its relaxed geometry, with properties calculated at the PBE-GGA level.

```
data_MgRe2Si
_cell_length_a 2.880
_cell_length_b 4.250
_cell_length_c 5.143
_cell_angle_alpha 90.00
_cell_angle_beta 105.98
_cell_angle_gamma 90.00
_symmetry_space_group_name_H-M 'P 1 m 1'
_symmetry_Int_Tables_number 6
loop_
_symmetry_equiv_pos_as_xyz
'x,y,z'
'x,-y,z'
loop_
_atom_site_label
_atom_site_type_symbol
_atom_site_fract_x
_atom_site_fract_y
_atom_site_fract_z
Mg1 Mg 0.000 0.000 0.000
Re1 Re 0.267 0.000 0.525
Re2 Re 0.668 0.500 0.325
Si1 Si 0.400 0.500 0.797
```

Output
Formation energy (no corrections) = 0.44 eV/f.u.


No. 14
Below is crystalline MgRe2Si at its relaxed geometry, with properties calculated at the PBE-GGA level.

```
data_MgRe2Si
_cell_length_a 3.039
_cell_length_b 3.039
_cell_length_c 6.539
_cell_angle_alpha 90.00
_cell_angle_beta 90.00
_cell_angle_gamma 90.00
_symmetry_space_group_name_H-M 'P 4/m m m'
_symmetry_Int_Tables_number 123
_symmetry_space_group_name_Hall '-P 4 2'
loop_
_atom_site_label
_atom_site_type_symbol
_atom_site_fract_x
_atom_site_fract_y
_atom_site_fract_z
Mg1 Mg 0.000 0.000 0.000
Re1 Re 0.500 0.500 0.297
Si1 Si 0.000 0.000 0.500
```

Output
Formation energy (no corrections) = 0.57 eV/f.u.


No. 15
Below is crystalline MgRe2Si at its relaxed geometry, with properties calculated at the PBE-GGA level.

```
data_MgRe2Si
_cell_length_a 9.466
_cell_length_b 2.982
_cell_length_c 4.429
_cell_angle_alpha 90.00
_cell_angle_beta 109.19
_cell_angle_gamma 90.00
_symmetry_space_group_name_H-M 'C 1 m 1'
_symmetry_Int_Tables_number 8
loop_
_symmetry_equiv_pos_as_xyz
'x,y,z'
'x,-y,z'
'x+1/2,y+1/2,z'
'x+1/2,-y+1/2,z'
loop_
_atom_site_label
_atom_site_type_symbol
_atom_site_fract_x
_atom_site_fract_y
_atom_site_fract_z
Mg1 Mg 0.000 0.000 0.000
Re1 Re 0.000 0.500 0.494
Re2 Re 0.238 0.000 0.769
Si1 Si 0.271 0.500 0.295
```

Output
Formation energy (no corrections) = 0.65 eV/f.u.


No. 16
Below is crystalline MgRe2Si at its relaxed geometry, with properties calculated at the PBE-GGA level.

```
data_MgRe2Si
_cell_length_a 5.496
_cell_length_b 8.636
_cell_length_c 2.732
_cell_angle_alpha 90.00
_cell_angle_beta 113.97
_cell_angle_gamma 90.00
_symmetry_space_group_name_H-M 'C 1 2/m 1'
_symmetry_Int_Tables_number 12
loop_
_symmetry_equiv_pos_as_xyz
'x,y,z'
'-x,-y,-z'
'-x,y,-z'
'x,-y,z'
'x+1/2,y+1/2,z'
'-x+1/2,-y+1/2,-z'
'-x+1/2,y+1/2,-z'
'x+1/2,-y+1/2,z'
loop_
_atom_site_label
_atom_site_type_symbol
_atom_site_fract_x
_atom_site_fract_y
_atom_site_fract_z
Mg1 Mg 0.000 0.000 0.000
Re1 Re 0.250 0.250 0.500
Si1 Si 0.000 0.500 0.000
```

Output
Formation energy (no corrections) = 1.08 eV/f.u.


No. 17
Below is crystalline MgRe2Si at its relaxed geometry, with properties calculated at the PBE-GGA level.

```
data_MgRe2Si
_cell_length_a 3.124
_cell_length_b 4.536
_cell_length_c 8.761
_cell_angle_alpha 90.00
_cell_angle_beta 90.00
_cell_angle_gamma 90.00
_symmetry_space_group_name_H-M 'C m m 2'
_symmetry_Int_Tables_number 35
loop_
_symmetry_equiv_pos_as_xyz
'x,y,z'
'-x,-y,z'
'-x,y,z'
'x,-y,z'
'x+1/2,y+1/2,z'
'-x+1/2,-y+1/2,z'
'-x+1/2,y+1/2,z'
'x+1/2,-y+1/2,z'
loop_
_atom_site_label
_atom_site_type_symbol
_atom_site_fract_x
_atom_site_fract_y
_atom_site_fract_z
Mg1 Mg 0.000 0.000 0.000
Re1 Re 0.000 0.000 0.492
Re2 Re 0.000 0.500 0.739
Si1 Si 0.000 0.500 0.269
```

Output
Formation energy (no corrections) = 1.10 eV/f.u.


No. 18
Below is crystalline MgRe2Si2 at its relaxed geometry, with properties calculated at the PBE-GGA level.

```
data_MgRe2Si2
_cell_length_a 7.166
_cell_length_b 7.166
_cell_length_c 2.921
_cell_angle_alpha 90.00
_cell_angle_beta 90.00
_cell_angle_gamma 90.00
_symmetry_space_group_name_H-M 'P 4/m b m'
_symmetry_Int_Tables_number 127
_symmetry_space_group_name_Hall '-P 4 2ab'
loop_
_atom_site_label
_atom_site_type_symbol
_atom_site_fract_x
_atom_site_fract_y
_atom_site_fract_z
Mg1 Mg 0.000 0.000 0.000
Re1 Re 0.142 0.358 0.000
Si1 Si 0.150 0.650 0.500
```

Output
Formation energy (no corrections) = -0.21 eV/f.u.


No. 19
Below is crystalline MgRe2Si at its relaxed geometry, with properties calculated at the PBE-GGA level.

```
data_MgRe2Si
_cell_length_a 3.071
_cell_length_b 4.628
_cell_length_c 8.498
_cell_angle_alpha 90.00
_cell_angle_beta 90.00
_cell_angle_gamma 90.00
_symmetry_space_group_name_H-M 'C m m m'
_symmetry_Int_Tables_number 65
_symmetry_space_group_name_Hall '-C 2 2'
loop_
_atom_site_label
_atom_site_type_symbol
_atom_site_fract_x
_atom_site_fract_y
_atom_site_fract_z
Mg1 Mg 0.000 0.000 0.000
Re1 Re 0.000 0.500 0.275
Si1 Si 0.000 0.000 0.500
```

Output
Formation energy (no corrections) = 0.79 eV/f.u.


No. 20
Below is crystalline MgRe2Si at its relaxed geometry, with properties calculated at the PBE-GGA level.

```
data_MgRe2Si
_cell_length_a 6.159
_cell_length_b 6.159
_cell_length_c 6.159
_cell_angle_alpha 90.00
_cell_angle_beta 90.00
_cell_angle_gamma 90.00
_symmetry_space_group_name_H-M 'F -4 3 m'
_symmetry_Int_Tables_number 216
_symmetry_space_group_name_Hall 'F -4 2 3'
loop_
_atom_site_label
_atom_site_type_symbol
_atom_site_fract_x
_atom_site_fract_y
_atom_site_fract_z
Mg1 Mg 0.000 0.000 0.000
Re1 Re 0.000 0.000 0.500
Re2 Re 0.250 0.250 0.250
Si1 Si 0.250 0.250 0.750
```

Output
Formation energy (no corrections) = 0.77 eV/f.u.